! TcSbPdI2 PBE-GGA relaxed; values from VASP
! - Uncorrected formation energy: 973 meV per atom
! - Energy relative to the lowest polymorph listed for this composition: 0.163 eV/atom
! - Space-group type: No. 123
&SYSTEM
  ibrav = 0, nat = 5, ntyp = 4
/
ATOMIC_SPECIES
Pd 106.42 Pd.upf
Tc 98.00 Tc.upf
Sb 121.76 Sb.upf
I 126.90 I.upf
ATOMIC_POSITIONS crystal
Pd 0.0000 0.0000 0.0000
Tc 0.5000 0.5000 0.5000
Sb 0.0000 0.0000 0.5000
I 0.5000 0.0000 0.0000
I 0.0000 0.5000 0.0000
CELL_PARAMETERS angstrom
-4.6466 -1.9045 2.0360
2.1585 -4.9621 0.2846
1.7445 1.0431 4.9570

! SbTe2PdI PBE-GGA relaxed; values from VASP
! - Uncorrected formation energy: 285 meV per atom
! - Energy relative to the lowest polymorph listed for this composition: 0.000 eV/atom
! - Space-group type: No. 123
&SYSTEM
  ibrav = 0, nat = 5, ntyp = 4
/
ATOMIC_SPECIES
I 126.90 I.upf
Te 127.60 Te.upf
Sb 121.76 Sb.upf
Pd 106.42 Pd.upf
ATOMIC_POSITIONS crystal
I 0.0000 0.0000 0.5000
Te 0.5000 0.0000 0.0000
Te 0.0000 0.5000 0.0000
Sb 0.5000 0.5000 0.5000
Pd 0.0000 0.0000 0.0000
CELL_PARAMETERS angstrom
5.3103 0.0000 0.0000
0.0000 5.3103 0.0000
0.0000 0.0000 5.3733

! Sb2TePdI PBE-GGA relaxed; values from VASP
! - Uncorrected formation energy: 320 meV per atom
! - Energy relative to the lowest polymorph listed for this composition: 0.008 eV/atom
! - Space-group type: No. 123
&SYSTEM
  ibrav = 0, nat = 5, ntyp = 4
/
ATOMIC_SPECIES
Sb 121.76 Sb.upf
Te 127.60 Te.upf
I 126.90 I.upf
Pd 106.42 Pd.upf
ATOMIC_POSITIONS crystal
Sb 0.5000 0.0000 0.0000
Sb 0.0000 0.5000 0.0000
Te 0.0000 0.0000 0.5000
I 0.5000 0.5000 0.5000
Pd 0.0000 0.0000 0.0000
CELL_PARAMETERS angstrom
-3.8519 -1.3169 -3.4613
1.4762 -5.1262 0.3075
-3.3824 -0.7316 4.0425

! SbTe2PdI PBE-GGA relaxed; values from VASP
! - Uncorrected formation energy: 302 meV per atom
! - Energy relative to the lowest polymorph listed for this composition: 0.017 eV/atom
! - Space-group type: No. 123
&SYSTEM
  ibrav = 0, nat = 5, ntyp = 4
/
ATOMIC_SPECIES
I 126.90 I.upf
Pd 106.42 Pd.upf
Sb 121.76 Sb.upf
Te 127.60 Te.upf
ATOMIC_POSITIONS crystal
I 0.5000 0.5000 0.5000
Pd 0.0000 0.0000 0.0000
Sb 0.0000 0.0000 0.5000
Te 0.5000 0.0000 0.0000
Te 0.0000 0.5000 0.0000
CELL_PARAMETERS angstrom
5.3479 0.0000 0.0000
0.0000 5.3479 0.0000
0.0000 0.0000 5.3332

! Sb2TePdI PBE-GGA relaxed; values from VASP
! - Uncorrected formation energy: 312 meV per atom
! - Energy relative to the lowest polymorph listed for this composition: 0.000 eV/atom
! - Space-group type: No. 123
&SYSTEM
  ibrav = 0, nat = 5, ntyp = 4
/
ATOMIC_SPECIES
Pd 106.42 Pd.upf
Sb 121.76 Sb.upf
Te 127.60 Te.upf
I 126.90 I.upf
ATOMIC_POSITIONS crystal
Pd 0.0000 0.0000 0.0000
Sb 0.5000 0.0000 0.0000
Sb 0.0000 0.5000 0.0000
Te 0.5000 0.5000 0.5000
I 0.0000 0.0000 0.5000
CELL_PARAMETERS angstrom
5.3281 0.0000 0.0000
0.0000 5.3281 0.0000
0.0000 0.0000 5.3140

! VSb2PdI PBE-GGA relaxed; values from VASP
! - Uncorrected formation energy: 590 meV per atom
! - Energy relative to the lowest polymorph listed for this composition: 0.000 eV/atom
! - Space-group type: No. 123
&SYSTEM
  ibrav = 0, nat = 5, ntyp = 4
/
ATOMIC_SPECIES
Sb 121.76 Sb.upf
I 126.90 I.upf
V 50.94 V.upf
Pd 106.42 Pd.upf
ATOMIC_POSITIONS crystal
Sb 0.5000 0.0000 0.0000
Sb 0.0000 0.5000 0.0000
I 0.0000 0.0000 0.5000
V 0.0000 0.0000 0.0000
Pd 0.5000 0.5000 0.5000
CELL_PARAMETERS angstrom
5.0680 0.0000 0.0000
0.0000 5.0680 0.0000
0.0000 0.0000 5.5038

! VSb2PdI PBE-GGA relaxed; values from VASP
! - Uncorrected formation energy: 989 meV per atom
! - Energy relative to the lowest polymorph listed for this composition: 0.399 eV/atom
! - Space-group type: No. 123
&SYSTEM
  ibrav = 0, nat = 5, ntyp = 4
/
ATOMIC_SPECIES
V 50.94 V.upf
I 126.90 I.upf
Pd 106.42 Pd.upf
Sb 121.76 Sb.upf
ATOMIC_POSITIONS crystal
V 0.5000 0.5000 0.5000
I 0.0000 0.0000 0.5000
Pd 0.0000 0.0000 0.0000
Sb 0.5000 0.0000 0.0000
Sb 0.0000 0.5000 0.0000
CELL_PARAMETERS angstrom
5.1637 0.0000 0.0000
0.0000 5.1637 0.0000
0.0000 0.0000 5.4321

! VSbPdI2 PBE-GGA relaxed; values from VASP
! - Uncorrected formation energy: 944 meV per atom
! - Energy relative to the lowest polymorph listed for this composition: 0.312 eV/atom
! - Space-group type: No. 123
&SYSTEM
  ibrav = 0, nat = 5, ntyp = 4
/
ATOMIC_SPECIES
I 126.90 I.upf
V 50.94 V.upf
Pd 106.42 Pd.upf
Sb 121.76 Sb.upf
ATOMIC_POSITIONS crystal
I 0.0000 0.5000 0.0000
I 0.5000 0.0000 0.0000
V 0.5000 0.5000 0.5000
Pd 0.0000 0.0000 0.0000
Sb 0.0000 0.0000 0.5000
CELL_PARAMETERS angstrom
5.3962 0.0000 0.0000
0.0000 5.3962 0.0000
0.0000 0.0000 5.3110

! VSbPdI2 PBE-GGA relaxed; values from VASP
! - Uncorrected formation energy: 631 meV per atom
! - Energy relative to the lowest polymorph listed for this composition: 0.000 eV/atom
! - Space-group type: No. 123
&SYSTEM
  ibrav = 0, nat = 5, ntyp = 4
/
ATOMIC_SPECIES
Sb 121.76 Sb.upf
I 126.90 I.upf
V 50.94 V.upf
Pd 106.42 Pd.upf
ATOMIC_POSITIONS crystal
Sb 0.0000 0.0000 0.5000
I 0.5000 0.0000 0.0000
I 0.0000 0.5000 0.0000
V 0.0000 0.0000 0.0000
Pd 0.5000 0.5000 0.5000
CELL_PARAMETERS angstrom
-2.6062 -0.9051 -4.5404
-0.0614 -5.2032 1.0724
-4.5302 0.5661 2.4874

! SbPdWI2 PBE-GGA relaxed; values from VASP
! - Uncorrected formation energy: 1346 meV per atom
! - Energy relative to the lowest polymorph listed for this composition: 0.309 eV/atom
! - Space-group type: No. 123
&SYSTEM
  ibrav = 0, nat = 5, ntyp = 4
/
ATOMIC_SPECIES
Pd 106.42 Pd.upf
I 126.90 I.upf
W 183.84 W.upf
Sb 121.76 Sb.upf
ATOMIC_POSITIONS crystal
Pd 0.0000 0.0000 0.0000
I 0.0000 0.5000 0.0000
I 0.5000 0.0000 0.0000
W 0.5000 0.5000 0.5000
Sb 0.0000 0.0000 0.5000
CELL_PARAMETERS angstrom
-4.9602 0.1244 1.9934
-1.8022 -2.5789 -4.3237
0.8612 -4.6844 2.4352

! Sb2PdWI PBE-GGA relaxed; values from VASP
! - Uncorrected formation energy: 951 meV per atom
! - Energy relative to the lowest polymorph listed for this composition: 0.192 eV/atom
! - Space-group type: No. 123
&SYSTEM
  ibrav = 0, nat = 5, ntyp = 4
/
ATOMIC_SPECIES
Sb 121.76 Sb.upf
Pd 106.42 Pd.upf
I 126.90 I.upf
W 183.84 W.upf
ATOMIC_POSITIONS crystal
Sb 0.0000 0.5000 0.0000
Sb 0.5000 0.0000 0.0000
Pd 0.5000 0.5000 0.5000
I 0.0000 0.0000 0.5000
W 0.0000 0.0000 0.0000
CELL_PARAMETERS angstrom
-0.8087 3.2798 -3.8993
0.2655 -3.9156 -3.3486
-5.6788 -0.8098 0.4966

! SbPdWI2 PBE-GGA relaxed; values from VASP
! - Uncorrected formation energy: 1037 meV per atom
! - Energy relative to the lowest polymorph listed for this composition: 0.000 eV/atom
! - Space-group type: No. 123
&SYSTEM
  ibrav = 0, nat = 5, ntyp = 4
/
ATOMIC_SPECIES
W 183.84 W.upf
Pd 106.42 Pd.upf
I 126.90 I.upf
Sb 121.76 Sb.upf
ATOMIC_POSITIONS crystal
W 0.0000 0.0000 0.0000
Pd 0.5000 0.5000 0.5000
I 0.5000 0.0000 0.0000
I 0.0000 0.5000 0.0000
Sb 0.0000 0.0000 0.5000
CELL_PARAMETERS angstrom
5.5044 0.0000 0.0000
0.0000 5.5044 0.0000
0.0000 0.0000 5.2359

! Sb2PdWI PBE-GGA relaxed; values from VASP
! - Uncorrected formation energy: 1332 meV per atom
! - Energy relative to the lowest polymorph listed for this composition: 0.573 eV/atom
! - Space-group type: No. 123
&SYSTEM
  ibrav = 0, nat = 5, ntyp = 4
/
ATOMIC_SPECIES
W 183.84 W.upf
I 126.90 I.upf
Pd 106.42 Pd.upf
Sb 121.76 Sb.upf
ATOMIC_POSITIONS crystal
W 0.5000 0.5000 0.5000
I 0.0000 0.0000 0.5000
Pd 0.0000 0.0000 0.0000
Sb 0.0000 0.5000 0.0000
Sb 0.5000 0.0000 0.0000
CELL_PARAMETERS angstrom
5.1669 0.0000 0.0000
0.0000 5.1669 0.0000
0.0000 0.0000 5.3610

! Sb2PdWI PBE-GGA relaxed; values from VASP
! - Uncorrected formation energy: 759 meV per atom
! - Energy relative to the lowest polymorph listed for this composition: 0.000 eV/atom
! - Space-group type: No. 123
&SYSTEM
  ibrav = 0, nat = 5, ntyp = 4
/
ATOMIC_SPECIES
I 126.90 I.upf
Sb 121.76 Sb.upf
W 183.84 W.upf
Pd 106.42 Pd.upf
ATOMIC_POSITIONS crystal
I 0.5000 0.5000 0.5000
Sb 0.0000 0.0000 0.5000
Sb 0.5000 0.0000 0.0000
W 0.0000 0.0000 0.0000
Pd 0.0000 0.5000 0.0000
CELL_PARAMETERS angstrom
5.2375 0.0000 0.0000
0.0000 5.1551 0.0000
0.0000 0.0000 5.2375